Computed, not measured: an optimized crystal structure of Ce2GaFe at the PBE-GGA level of DFT.

Calculated values
Its formation enthalpy at 0 K is 1.014 eV/f.u. As for the symmetry: R-3m (166). The value obtained for the density of states at the Fermi level is 2.029 states/eV/atom. The value obtained for the excess energy over the best structure of this formula in the dataset is 566 meV/atom. The value obtained for the total DFT energy (no corrections) is -5.586 eV per atom.

Cell lengths 3.661, 3.661, 9.611 Å; angles 79.02, 79.02, 60.00 degrees
Last column: magnetic moment on the atom in μB.
Sites, in units of the cell vectors:
Ga 0.000 0.000 0.000  0.01
Ce 0.112 0.112 0.663  0.40
Ce 0.888 0.888 0.337  0.40
Fe 0.500 0.500 0.500  -0.21